Compound: CsAcPm
Source: the Open Quantum Materials Database
Functional: GGA-PBE
Structure: relaxed Values from VASP.

Quantum ESPRESSO input file:
```
&SYSTEM
  ibrav = 0, nat = 3, ntyp = 3
/
ATOMIC_SPECIES
Ac 227.00 Ac.upf
Cs 132.91 Cs.upf
Pm 145.00 Pm.upf
CELL_PARAMETERS angstrom
0.8665 -6.2380 -0.3185
1.2124 -3.2866 5.2434
-4.3538 -3.9119 2.3466
ATOMIC_POSITIONS crystal
Ac 0.2500 0.2500 0.2500
Cs 0.7500 0.7500 0.7500
Pm 0.0000 0.0000 0.0000
```

As for the electronic total energy: -6.5 eV per cell. The energy above the most stable polymorph in this dataset is 0 meV/atom.